Material: LiLuCuSi
Method: DFT, PBE
State: optimized geometry

ΔE to the lowest computed polymorph   0.000 eV/atom
Total magnetization   0.000 μB per atom
E_tot   -4.177 eV per atom

Lattice parameters (Å, degrees): 6.1907 6.1907 6.1907 90.00 90.00 90.00
Closest atoms and distances in Å follow each position.
Space group F-43m (No. 216)
Inequivalent atoms, fractional coordinates:
Li1 0.0000 0.0000 0.0000 [4 per cell]  4 Si 2.68, 4 Lu 2.68
Lu1 0.2500 0.2500 0.7500 [4 per cell]  4 Li 2.68, 4 Cu 2.68
Cu1 0.0000 0.0000 0.5000 [4 per cell]  4 Lu 2.68, 4 Si 2.68
Si1 0.2500 0.2500 0.2500 [4 per cell]  4 Li 2.68, 4 Cu 2.68

Material: LiLuCuSi
Method: DFT, PBE
State: optimized geometry

ΔE to the lowest computed polymorph   0.083 eV/atom
Total magnetization   0.000 μB per atom
E_tot   -4.094 eV per atom

Lattice parameters (Å, degrees): 6.3039 6.3039 6.3039 90.00 90.00 90.00
Closest atoms and distances in Å follow each position.
Space group F-43m (No. 216)
Inequivalent atoms, fractional coordinates:
Li1 0.0000 0.0000 0.0000 [4 per cell]  4 Cu 2.73, 4 Lu 2.73
Lu1 0.2500 0.2500 0.2500 [4 per cell]  4 Li 2.73, 4 Si 2.73
Cu1 0.2500 0.2500 0.7500 [4 per cell]  4 Li 2.73, 4 Si 2.73
Si1 0.0000 0.0000 0.5000 [4 per cell]  4 Cu 2.73, 4 Lu 2.73

Material: LiLuTlCu
Method: DFT, PBE
State: optimized geometry

ΔE to the lowest computed polymorph   0.000 eV/atom
Total magnetization   0.000 μB per atom
E_tot   -3.351 eV per atom

Lattice parameters (Å, degrees): 6.6092 6.6092 6.6092 90.00 90.00 90.00
Closest atoms and distances in Å follow each position.
Space group F-43m (No. 216)
Inequivalent atoms, fractional coordinates:
Li1 0.0000 0.0000 0.0000 [4 per cell]  4 Tl 2.86, 4 Lu 2.86
Lu1 0.2500 0.2500 0.7500 [4 per cell]  4 Li 2.86, 4 Cu 2.86
Tl1 0.2500 0.2500 0.2500 [4 per cell]  4 Li 2.86, 4 Cu 2.86
Cu1 0.0000 0.0000 0.5000 [4 per cell]  4 Tl 2.86, 4 Lu 2.86

Material: LiLuTlCu
Method: DFT, PBE
State: optimized geometry

ΔE to the lowest computed polymorph   0.151 eV/atom
Total magnetization   0.000 μB per atom
E_tot   -3.200 eV per atom

Lattice parameters (Å, degrees): 6.7304 6.7304 6.7304 90.00 90.00 90.00
Closest atoms and distances in Å follow each position.
Space group F-43m (No. 216)
Inequivalent atoms, fractional coordinates:
Li1 0.0000 0.0000 0.0000 [4 per cell]  4 Cu 2.91, 4 Lu 2.91
Lu1 0.2500 0.2500 0.2500 [4 per cell]  4 Tl 2.91, 4 Li 2.91
Tl1 0.0000 0.0000 0.5000 [4 per cell]  4 Lu 2.91, 4 Cu 2.91
Cu1 0.2500 0.2500 0.7500 [4 per cell]  4 Tl 2.91, 4 Li 2.91

Material: LiMg2Cu5
Method: DFT, PBE
State: optimized geometry

E_tot   -2.982 eV per atom

Lattice parameters (Å, degrees): 4.2191 4.2191 5.9944 90.00 90.00 90.00
Closest atoms and distances in Å follow each position.
Space group P4/mmm (No. 123)
Inequivalent atoms, fractional coordinates:
Li1 0.0000 0.0000 0.0000 [1 per cell]  8 Cu 2.60
Mg1 0.0000 0.0000 0.5000 [1 per cell]  8 Cu 2.58
Mg2 0.5000 0.5000 0.0000 [1 per cell]  8 Cu 2.60
Cu1 0.0000 0.5000 0.2531 [4 per cell]  2 Cu 2.58, 4 Mg 2.58-2.60, 2 Li 2.60
Cu2 0.5000 0.5000 0.5000 [1 per cell]  8 Cu 2.58

Material: LiMg2Cu5
Method: DFT, PBE
State: optimized geometry

E_tot   -2.982 eV per atom

Lattice parameters (Å, degrees): 4.2191 4.2191 5.9944 90.00 90.00 90.00
Closest atoms and distances in Å follow each position.
Space group P4/mmm (No. 123)
Inequivalent atoms, fractional coordinates:
Li1 0.0000 0.0000 0.0000 [1 per cell]  8 Cu 2.60
Mg1 0.0000 0.0000 0.5000 [1 per cell]  8 Cu 2.58
Mg2 0.5000 0.5000 0.0000 [1 per cell]  8 Cu 2.60
Cu1 0.0000 0.5000 0.2531 [4 per cell]  4 Mg 2.58-2.60, 2 Cu 2.58, 2 Li 2.60
Cu2 0.5000 0.5000 0.5000 [1 per cell]  8 Cu 2.58